No. 1
Material: Pr2NdSb3
Method: DFT, PBE
State: relaxed

a b c (Å): 4.5367 4.5367 11.1625
angles (deg): 90.00 90.00 120.00
Atoms (fractional coordinates):
1 Pr 0.3333 0.6667 0.3332
2 Pr 0.6667 0.3333 0.6668
3 Nd 0.0000 0.0000 0.0000
4 Sb 0.0000 0.0000 0.5000
5 Sb 0.3333 0.6667 0.8340
6 Sb 0.6667 0.3333 0.1660

Total DFT energy (no corrections)   -5.64 eV/atom

=====

No. 2
Material: Pr3Nd2Sb3
Method: DFT, PBE
State: relaxed

a b c (Å): 9.3812 9.3812 6.5485
angles (deg): 90.00 90.00 120.00
Atoms (fractional coordinates):
1 Pr 0.0000 0.2507 0.2500
2 Pr 0.0000 0.7493 0.7500
3 Pr 0.2507 0.0000 0.2500
4 Pr 0.2507 0.2507 0.7500
5 Pr 0.7493 0.0000 0.7500
6 Pr 0.7493 0.7493 0.2500
7 Nd 0.3333 0.6667 0.0000
8 Nd 0.3333 0.6667 0.5000
9 Nd 0.6667 0.3333 0.0000
10 Nd 0.6667 0.3333 0.5000
11 Sb 0.0000 0.3873 0.7500
12 Sb 0.0000 0.6127 0.2500
13 Sb 0.3873 0.0000 0.7500
14 Sb 0.3873 0.3873 0.2500
15 Sb 0.6127 0.0000 0.2500
16 Sb 0.6127 0.6127 0.7500

Total DFT energy (no corrections)   -5.50 eV/atom

=====

No. 3
Material: PrNdSb2
Method: DFT, PBE
State: relaxed

a b c (Å): 4.5192 4.5192 11.8532
angles (deg): 90.00 90.00 90.00
Atoms (fractional coordinates):
1 Pr 0.2500 0.7500 0.0000
2 Pr 0.7500 0.2500 0.0000
3 Nd 0.2500 0.2500 0.2932
4 Nd 0.7500 0.7500 0.7068
5 Sb 0.2500 0.2500 0.7977
6 Sb 0.2500 0.7500 0.5000
7 Sb 0.7500 0.2500 0.5000
8 Sb 0.7500 0.7500 0.2023

Offset from the most stable computed form   385 meV per atom

=====

No. 4
Material: PrNdSb
Method: DFT, PBE
State: relaxed

a b c (Å): 9.4878 9.4878 9.4878
angles (deg): 151.98 151.98 40.05
Atoms (fractional coordinates):
1 Pr 0.1789 0.1789 0.0000
2 Pr 0.8211 0.8211 0.0000
3 Nd 0.0000 0.5000 0.5000
4 Nd 0.5000 0.0000 0.5000
5 Sb 0.3625 0.3625 0.0000
6 Sb 0.6375 0.6375 0.0000

Total DFT energy (no corrections)   -5.41 eV/atom

=====

No. 5
Material: PrNdSb
Method: DFT, PBE
State: relaxed

a b c (Å): 5.2635 5.2635 5.2635
angles (deg): 60.00 60.00 60.00
Atoms (fractional coordinates):
1 Pr 0.0000 0.0000 0.0000
2 Nd 0.5000 0.5000 0.5000
3 Sb 0.7500 0.7500 0.7500

Total DFT energy (no corrections)   -5.22 eV/atom

=====

No. 6
Material: PrNdSb4
Method: DFT, PBE
State: relaxed

a b c (Å): 4.4412 8.9633 8.9633
angles (deg): 29.06 90.00 90.00
Atoms (fractional coordinates):
1 Pr 0.0000 0.0000 0.0000
2 Nd 0.5000 0.2096 0.2096
3 Sb 0.0000 0.3544 0.3544
4 Sb 0.0000 0.6707 0.6707
5 Sb 0.5000 0.5402 0.5402
6 Sb 0.5000 0.8537 0.8537

Total DFT energy (no corrections)   -5.13 eV/atom

=====

Number 1: total magnetic moment 0.00 μB per formula unit. Number 2: total magnetic moment 0.02 μB per formula unit. Number 3: total magnetic moment 0.03 μB per formula unit. Number 4: total magnetic moment 0.03 μB per formula unit. Number 5: total magnetic moment 0.02 μB per formula unit. Number 6: total magnetic moment 0.00 μB per formula unit.